meta-GGA SCAN Ni2SbTe, PBEsol geometry; formation energy (no corrections) = 106 kJ/mol of formula units; calculated density = 9.0 g/cm³; space-group type = Immm (71); total moment = 0.00 μB per formula unit; E_tot = -105.8 eV per formula unit
1.0
-3.706 2.565 0.646
-4.077 -1.485 -1.447
-3.154 -1.285 3.053
Ni Te Sb
2 1 1
Direct
0.757 0.243 0.243 Ni
0.243 0.757 0.757 Ni
0.000 0.500 0.500 Te
0.500 0.000 0.000 Sb


meta-GGA SCAN ZnNiSb2Te, PBEsol geometry; formation energy (no corrections) = 490 kJ/mol of formula units; calculated density = 6.3 g/cm³; space-group type = P4/mmm (123); total moment = 1.15 μB per formula unit; E_tot = -136.4 eV per formula unit
1.0
5.020 0.000 0.000
0.000 5.020 0.000
0.000 0.000 5.176
Ni Sb Zn Te
1 2 1 1
Direct
0.500 0.500 0.500 Ni
0.000 0.500 0.000 Sb
0.500 0.000 0.000 Sb
0.000 0.000 0.000 Zn
0.000 0.000 0.500 Te


meta-GGA SCAN ZrTiNiSb2, PBEsol geometry; formation energy (no corrections) = 196 kJ/mol of formula units; calculated density = 6.6 g/cm³; space-group type = P4/mmm (123); total moment = 0.00 μB per formula unit; E_tot = -135.4 eV per formula unit
1.0
-3.633 -2.199 -0.415
0.134 -1.157 4.956
-2.667 4.207 1.054
Ti Sb Ni Zr
1 2 1 1
Direct
0.000 0.000 0.000 Ti
0.000 0.500 0.000 Sb
0.000 0.000 0.500 Sb
0.500 0.000 0.000 Ni
0.500 0.500 0.500 Zr


meta-GGA SCAN TlNi2Sb, PBEsol geometry; formation energy (no corrections) = 43 kJ/mol of formula units; calculated density = 11.1 g/cm³; space-group type = Amm2 (38); total moment = 0.00 μB per formula unit; E_tot = -141.5 eV per formula unit
1.0
3.436 0.000 0.000
0.000 3.939 0.000
-1.718 0.000 4.883
Ni Sb Tl
2 1 1
Direct
0.825 0.000 0.650 Ni
0.669 0.500 0.337 Ni
0.111 0.000 0.221 Sb
0.394 0.500 0.787 Tl


meta-GGA SCAN TlNiSb, PBEsol geometry; formation energy (no corrections) = 25 kJ/mol of formula units; calculated density = 10.1 g/cm³; space-group type = P3m1 (156); total moment = 0.00 μB per formula unit; E_tot = -125.5 eV per formula unit
1.0
3.499 0.000 0.000
-1.750 3.031 0.000
0.000 0.000 5.943
Tl Ni Sb
1 1 1
Direct
0.667 0.333 0.286 Tl
0.000 0.000 0.980 Ni
0.333 0.667 0.734 Sb


meta-GGA SCAN TlNi2Sb, PBEsol geometry; formation energy (no corrections) = 150 kJ/mol of formula units; calculated density = 11.1 g/cm³; space-group type = I-4m2 (119); total moment = 0.00 μB per formula unit; E_tot = -140.4 eV per formula unit
1.0
-3.238 1.354 -1.372
-1.784 -3.122 1.130
1.605 2.894 4.244
Sb Tl Ni
1 1 2
Direct
0.500 0.500 0.000 Sb
0.250 0.750 0.500 Tl
0.750 0.250 0.500 Ni
0.000 0.000 0.000 Ni


meta-GGA SCAN TlNiSb, PBEsol geometry; formation energy (no corrections) = 21 kJ/mol of formula units; calculated density = 10.3 g/cm³; space-group type = F-43m (216); total moment = 0.00 μB per formula unit; E_tot = -125.6 eV per formula unit
1.0
-0.309 4.437 -0.115
-2.540 1.974 -3.073
-3.791 1.997 1.196
Ni Tl Sb
1 1 1
Direct
0.250 0.250 0.250 Ni
0.500 0.500 0.500 Tl
0.000 0.000 0.000 Sb


meta-GGA SCAN TlNiSb2, PBEsol geometry; formation energy (no corrections) = 23 kJ/mol of formula units; calculated density = 9.4 g/cm³; space-group type = Cmmm (65); total moment = 0.00 μB per formula unit; E_tot = -162.8 eV per formula unit
1.0
-3.174 0.264 -0.247
0.515 -0.051 -3.153
-0.735 -8.812 0.022
Sb Ni Tl
2 1 1
Direct
0.000 0.000 0.180 Sb
0.000 0.000 0.820 Sb
0.500 0.500 0.000 Ni
0.500 0.500 0.500 Tl


meta-GGA SCAN TlNiSb2, PBEsol geometry; formation energy (no corrections) = 5 kJ/mol of formula units; calculated density = 9.0 g/cm³; space-group type = Imm2 (44); total moment = 0.00 μB per formula unit; E_tot = -163.0 eV per formula unit
1.0
-0.856 -2.417 1.919
-1.536 -1.418 -2.471
8.761 -2.487 -1.898
Sb Tl Ni
2 1 1
Direct
0.729 0.229 0.457 Sb
0.911 0.911 0.822 Sb
0.562 0.562 0.123 Tl
0.299 0.799 0.597 Ni


meta-GGA SCAN TlNiSb2, PBEsol geometry; formation energy (no corrections) = -41 kJ/mol of formula units; calculated density = 8.9 g/cm³; space-group type = R-3m (166); total moment = 0.00 μB per formula unit; E_tot = -163.5 eV per formula unit
1.0
-3.903 0.369 -0.119
-2.272 -3.197 -0.026
-2.267 -0.853 7.056
Tl Sb Ni
1 2 1
Direct
0.000 0.000 0.000 Tl
0.222 0.222 0.335 Sb
0.778 0.778 0.665 Sb
0.500 0.500 0.500 Ni


meta-GGA SCAN TlNiSb2, PBEsol geometry; formation energy (no corrections) = 210 kJ/mol of formula units; calculated density = 9.6 g/cm³; space-group type = Fm-3m (225); total moment = 0.00 μB per formula unit; E_tot = -160.9 eV per formula unit
1.0
-4.730 -1.524 -0.447
-1.202 -3.437 -3.412
-1.285 -4.601 1.439
Ni Tl Sb
1 1 2
Direct
0.000 0.000 0.000 Ni
0.500 0.500 0.500 Tl
0.750 0.750 0.750 Sb
0.250 0.250 0.250 Sb


meta-GGA SCAN TlNiSb2, PBEsol geometry; formation energy (no corrections) = -30 kJ/mol of formula units; calculated density = 8.7 g/cm³; space-group type = Cmmm (65); total moment = 0.00 μB per formula unit; E_tot = -163.4 eV per formula unit
1.0
-0.296 -1.564 3.659
4.824 -2.184 -0.543
-0.651 4.878 2.032
Tl Sb Ni
1 2 1
Direct
0.500 0.000 0.500 Tl
0.000 0.669 0.831 Sb
0.000 0.331 0.169 Sb
0.500 0.500 0.000 Ni


Q: What is the formation energy (no corrections) in the third record?
A: 196 kJ/mol of formula units


Copy entry 11 word for word.
meta-GGA SCAN TlNiSb2, PBEsol geometry; formation energy (no corrections) = 210 kJ/mol of formula units; calculated density = 9.6 g/cm³; space-group type = Fm-3m (225); total moment = 0.00 μB per formula unit; E_tot = -160.9 eV per formula unit
1.0
-4.730 -1.524 -0.447
-1.202 -3.437 -3.412
-1.285 -4.601 1.439
Ni Tl Sb
1 1 2
Direct
0.000 0.000 0.000 Ni
0.500 0.500 0.500 Tl
0.750 0.750 0.750 Sb
0.250 0.250 0.250 Sb